Below is a PBEsol-optimized structure of InNi2MoP, with properties calculated at the SCAN level.

Cell lengths 4.050, 4.050, 5.001 Å; angles 90.00, 90.00, 90.00 degrees
Space group P4/mmm (No. 123)
Asymmetric unit:
In  0.000  0.000  0.000 [1 per cell]
Ni  0.000  0.500  0.500 [2 per cell]
Mo  0.500  0.500  0.000 [1 per cell]
P  0.000  0.000  0.500 [1 per cell]

## Properties
Uncorrected energy in eV per cell: -107.379

---

Below is a PBEsol-optimized structure of SnPPb3, with properties calculated at the SCAN level.

Cell lengths 5.635, 5.635, 5.635 Å; angles 90.00, 90.00, 90.00 degrees
Space group Pm-3m (No. 221)
Asymmetric unit:
Sn  0.000  0.000  0.000 [1 per cell]
P  0.500  0.500  0.500 [1 per cell]
Pb  0.000  0.000  0.500 [3 per cell]

## Properties
Uncorrected energy in eV per cell: -269.036